No. 1
Here is MnP2AuS at its PBEsol-relaxed geometry from Alexandria. Energies are from SCAN.

Uncorrected formation energy = 0.887 eV per atom

abc: 4.7016 4.7016 4.8769
angles: 90.00 90.00 90.00
Element x y z (fractional)
Mn  0.0000  0.0000  0.0000
P  0.0000  0.5000  0.5000
P  0.5000  0.0000  0.5000
Au  0.5000  0.5000  0.5000
S  0.5000  0.5000  0.0000

No. 2
Here is YMg2Cu4 at its PBEsol-relaxed geometry from Alexandria. Energies are from SCAN.

Polymorph energy (0 for the lowest one) = 0 meV per atom
Formation energy = -203 meV/atom

abc: 5.2936 5.2936 5.2936
angles: 104.05 104.05 120.95
Element x y z (fractional)
Y  0.0000  0.0000  0.0000
Mg  0.2500  0.7500  0.5000
Mg  0.7500  0.2500  0.5000
Cu  0.3134  0.3134  0.6267
Cu  0.3134  0.6866  0.0000
Cu  0.6866  0.3134  0.0000
Cu  0.6866  0.6866  0.3733

No. 3
Here is ScHgTe2 at its PBEsol-relaxed geometry from Alexandria. Energies are from SCAN.

Uncorrected formation energy = -0.612 eV per atom

abc: 3.4039 3.4039 9.8193
angles: 90.00 90.00 104.35
Element x y z (fractional)
Sc  0.0000  0.0000  0.0000
Hg  0.0000  0.0000  0.5000
Te  0.5000  0.5000  0.1984
Te  0.5000  0.5000  0.8016

No. 4
Here is Cu2SiBr at its PBEsol-relaxed geometry from Alexandria. Energies are from SCAN.

Uncorrected formation energy = 0.687 eV per atom
Polymorph energy (0 for the lowest one) = 74 meV per atom

abc: 4.6470 4.6470 2.8654
angles: 90.00 90.00 90.00
Element x y z (fractional)
Cu  0.0000  0.5000  0.0000
Cu  0.5000  0.0000  0.0000
Si  0.0000  0.0000  0.5000
Br  0.5000  0.5000  0.5000

Number 1: calculated density 5.328 Mg/m³, magnetic moment 3.0 μB/cell. Number 2: calculated density 5.876 Mg/m³, magnetic moment 0.0 μB/cell. Number 3: calculated density 7.544 Mg/m³, magnetic moment 0.0 μB/cell. Number 4: calculated density 6.309 Mg/m³, magnetic moment 0.0 μB/cell.